# 1
Below is a crystal of Ag2P2PdO7 relaxed with PBEsol, with properties calculated at the SCAN level.

## Properties
ΔE_f (raw)   -153.5 kJ/mol of atoms

Geometry as POSCAR:
```
Ag2P2PdO7
1.0
5.501 0.000 0.000
0.000 8.527 -0.316
-2.750 -3.990 7.104
O P Ag Pd
14 4 4 2
Direct
0.354 0.069 0.638
0.085 0.991 0.786
0.700 0.796 0.786
0.716 0.431 0.362
0.915 0.009 0.214
0.300 0.204 0.214
0.701 0.491 0.786
0.646 0.931 0.362
0.086 0.296 0.786
0.519 0.750 0.000
0.914 0.704 0.214
0.299 0.509 0.214
0.284 0.569 0.638
0.481 0.250 0.000
0.242 0.148 0.794
0.552 0.648 0.794
0.758 0.852 0.206
0.448 0.352 0.206
0.993 0.707 0.503
0.490 0.793 0.497
0.510 0.207 0.503
0.007 0.293 0.497
0.000 0.500 0.000
0.000 0.000 0.000
```

---

# 2
Below is a crystal of ReNi2Pt relaxed with PBEsol, with properties calculated at the SCAN level.

## Properties
Energy above the lowest structure with this stoichiometry   13.6 kJ/mol of formula units
Energy relative to the elements   -0.0310 eV per atom

Geometry as POSCAR:
```
ReNi2Pt
1.0
2.655 0.000 0.000
0.000 3.739 0.000
0.000 0.000 5.095
Pt Re Ni
1 1 2
Direct
0.000 0.000 0.498
0.500 0.500 0.764
0.000 0.000 0.001
0.500 0.500 0.237
```

---

# 3
Below is a crystal of NaPtRh2O relaxed with PBEsol, with properties calculated at the SCAN level.

## Properties
ΔE_f (raw)   137.6 kJ/mol of atoms

Geometry as POSCAR:
```
NaPtRh2O
1.0
-2.569 -1.524 2.115
2.753 -3.582 0.761
1.753 2.125 3.661
Rh Na Pt O
2 1 1 1
Direct
0.000 0.000 0.500
0.000 0.500 0.000
0.000 0.000 0.000
0.500 0.500 0.500
0.500 0.000 0.000
```

---

# 4
Below is a crystal of BaSi2Ni relaxed with PBEsol, with properties calculated at the SCAN level.

## Properties
ΔE_f (raw)   -46.2 kJ/mol of atoms

Geometry as POSCAR:
```
BaSi2Ni
1.0
-2.638 0.412 2.885
1.092 -0.478 3.746
0.798 5.839 2.575
Ni Si Ba
1 2 1
Direct
0.500 0.500 0.500
0.201 0.201 0.396
0.799 0.799 0.604
0.000 0.000 0.000
```

---

# 5
Below is a crystal of TaSe2Br relaxed with PBEsol, with properties calculated at the SCAN level.

## Properties
ΔE_f (raw)   48.0 kJ/mol of atoms
Energy above the lowest structure with this stoichiometry   449.9 kJ/mol of formula units

Geometry as POSCAR:
```
TaSe2Br
1.0
-3.226 0.108 1.194
-0.294 -5.095 -0.333
1.674 2.188 4.326
Se Ta Br
2 1 1
Direct
0.000 0.000 0.500
0.000 0.500 0.500
0.500 0.500 0.000
0.500 0.000 0.000
```

---

# 6
Below is a crystal of CrSi2Ag relaxed with PBEsol, with properties calculated at the SCAN level.

## Properties
ΔE_f (raw)   28.9 kJ/mol of atoms
Energy above the lowest structure with this stoichiometry   0.0 kJ/mol of formula units

Geometry as POSCAR:
```
CrSi2Ag
1.0
2.784 0.000 0.000
0.000 4.485 0.057
0.000 -0.785 4.417
Si Cr Ag
2 1 1
Direct
0.000 0.500 0.000
0.000 0.000 0.500
0.500 0.500 0.500
0.500 0.000 0.000
```

---

# 7
Below is a crystal of LiNi2OF3 relaxed with PBEsol, with properties calculated at the SCAN level.

## Properties
ΔE_f (raw)   -206.9 kJ/mol of atoms
Energy above the lowest structure with this stoichiometry   1.6 kJ/mol of formula units

Geometry as POSCAR:
```
LiNi2OF3
1.0
5.833 0.000 0.000
2.916 5.051 0.000
2.916 1.684 5.020
F Ni Li O
6 4 2 2
Direct
0.762 0.762 0.228
0.248 0.762 0.228
0.762 0.248 0.228
0.752 0.238 0.772
0.238 0.752 0.772
0.238 0.238 0.772
0.000 0.500 0.500
0.500 0.000 0.500
0.000 0.000 0.500
0.000 0.000 0.000
0.352 0.352 0.943
0.648 0.648 0.057
0.224 0.224 0.328
0.776 0.776 0.672
```

---

# 8
Below is a crystal of Na5Mn2P2C2O14 relaxed with PBEsol, with properties calculated at the SCAN level.

## Properties
ΔE_f (raw)   -211.1 kJ/mol of atoms

Geometry as POSCAR:
```
Na5Mn2P2C2O14
1.0
-0.934 -0.532 5.068
-0.756 -10.921 -1.279
10.188 -4.397 1.444
O P Mn Na C
28 4 4 10 4
Direct
0.490 0.805 0.040
0.245 0.562 0.111
0.830 0.659 0.912
0.595 0.904 0.660
0.234 0.376 0.303
0.964 0.682 0.444
0.535 0.697 0.450
0.719 0.589 0.331
0.170 0.341 0.088
0.210 0.054 0.614
0.790 0.946 0.386
0.281 0.411 0.669
0.465 0.303 0.550
0.204 0.859 0.803
0.175 0.834 0.586
0.755 0.438 0.889
0.766 0.624 0.697
0.934 0.204 0.956
0.608 0.401 0.151
0.036 0.318 0.556
0.731 0.106 0.833
0.825 0.166 0.414
0.066 0.796 0.044
0.269 0.894 0.167
0.405 0.096 0.340
0.510 0.195 0.960
0.392 0.599 0.849
0.796 0.141 0.197
0.693 0.583 0.838
0.705 0.087 0.336
0.307 0.417 0.162
0.295 0.913 0.664
0.774 0.300 0.058
0.779 0.805 0.555
0.221 0.195 0.445
0.226 0.700 0.942
0.246 0.596 0.326
0.251 0.625 0.628
0.244 0.366 0.879
0.757 0.120 0.629
0.229 0.109 0.124
0.756 0.634 0.121
0.243 0.880 0.371
0.749 0.375 0.372
0.771 0.891 0.876
0.754 0.404 0.674
0.261 0.344 0.593
0.739 0.656 0.407
0.281 0.836 0.086
0.719 0.164 0.914
```

---

# 9
Below is a crystal of Sb3PbC relaxed with PBEsol, with properties calculated at the SCAN level.

## Properties
ΔE_f (raw)   93.2 kJ/mol of atoms

Geometry as POSCAR:
```
Sb3PbC
1.0
4.860 0.000 0.000
0.000 4.860 0.000
0.000 0.000 4.860
Sb Pb C
3 1 1
Direct
0.500 0.000 0.000
0.000 0.500 0.000
0.000 0.000 0.500
0.500 0.500 0.500
0.000 0.000 0.000
```

---

# 10
Below is a crystal of La2AlSb relaxed with PBEsol, with properties calculated at the SCAN level.

## Properties
ΔE_f (raw)   -68.5 kJ/mol of atoms
Energy above the lowest structure with this stoichiometry   9.6 kJ/mol of formula units

Geometry as POSCAR:
```
La2AlSb
1.0
4.399 0.000 0.000
0.000 4.981 0.000
0.000 0.000 4.981
Al La Sb
1 2 1
Direct
0.500 0.000 0.000
0.000 0.500 0.000
0.000 0.000 0.500
0.500 0.500 0.500
```

---

# 11
Below is a crystal of CuGe3P relaxed with PBEsol, with properties calculated at the SCAN level.

## Properties
Energy relative to the elements   0.6884 eV per atom

Geometry as POSCAR:
```
CuGe3P
1.0
-2.352 3.901 0.400
-1.475 -0.448 -4.305
-3.633 -2.344 1.489
Ge Cu P
3 1 1
Direct
0.000 0.500 0.000
0.500 0.000 0.000
0.000 0.000 0.500
0.000 0.000 0.000
0.500 0.500 0.500
```

---

# 12
Below is a crystal of SrMn2Re relaxed with PBEsol, with properties calculated at the SCAN level.

## Properties
Energy above the lowest structure with this stoichiometry   0.0 kJ/mol of formula units
Energy relative to the elements   0.8744 eV per atom

Geometry as POSCAR:
```
SrMn2Re
1.0
-2.691 3.452 -1.154
-2.737 -0.364 -3.588
-4.476 -0.324 0.591
Re Mn Sr
1 2 1
Direct
0.500 0.500 0.500
0.000 0.000 0.000
0.750 0.750 0.750
0.250 0.250 0.250
```

---

# 13
Below is a crystal of CaZrIn2 relaxed with PBEsol, with properties calculated at the SCAN level.

## Properties
Energy relative to the elements   -0.0892 eV per atom

Geometry as POSCAR:
```
CaZrIn2
1.0
-1.790 -2.373 1.529
2.329 -2.264 -0.788
4.256 1.716 7.646
In Zr Ca
2 1 1
Direct
0.500 0.500 0.251
0.000 0.000 0.020
0.000 0.000 0.468
0.500 0.500 0.761
```

---

# 14
Below is a crystal of BeTc3N relaxed with PBEsol, with properties calculated at the SCAN level.

## Properties
ΔE_f (raw)   8.5 kJ/mol of atoms

Geometry as POSCAR:
```
BeTc3N
1.0
3.929 0.000 0.000
0.000 3.929 0.000
0.000 0.000 3.929
Tc N Be
3 1 1
Direct
0.000 0.000 0.500
0.000 0.500 0.000
0.500 0.000 0.000
0.000 0.000 0.000
0.500 0.500 0.500
```

---

# 15
Below is a crystal of Hf2ZnInRe relaxed with PBEsol, with properties calculated at the SCAN level.

## Properties
Energy relative to the elements   0.7404 eV per atom

Geometry as POSCAR:
```
Hf2ZnInRe
1.0
-1.560 -3.928 -1.610
1.350 -2.195 4.046
-4.296 0.915 1.930
Zn Hf In Re
1 2 1 1
Direct
0.000 0.000 0.000
0.000 0.000 0.500
0.000 0.500 0.000
0.500 0.500 0.500
0.500 0.000 0.000
```

---

# 16
Below is a crystal of Mg2BrO relaxed with PBEsol, with properties calculated at the SCAN level.

## Properties
ΔE_f (raw)   -156.5 kJ/mol of atoms

Geometry as POSCAR:
```
Mg2BrO
1.0
-3.699 -4.248 -0.052
5.839 -1.377 2.216
0.480 -0.486 5.591
Mg Br O
4 2 2
Direct
0.875 0.250 0.503
0.375 0.250 0.247
0.247 0.750 0.875
0.503 0.750 0.375
0.750 0.500 0.750
0.000 0.000 0.000
0.250 0.500 0.250
0.500 0.000 0.500
```

---

# 17
Below is a crystal of LaTlPb2 relaxed with PBEsol, with properties calculated at the SCAN level.

## Properties
Energy relative to the elements   -0.4538 eV per atom

Geometry as POSCAR:
```
LaTlPb2
1.0
3.594 0.000 0.000
0.000 5.834 -0.019
0.000 -1.708 5.579
Tl La Pb
1 1 2
Direct
0.500 0.000 0.000
0.500 0.500 0.500
0.000 0.000 0.500
0.000 0.500 0.000
```

---

# 18
Below is a crystal of FeSb2MoAs relaxed with PBEsol, with properties calculated at the SCAN level.

## Properties
ΔE_f (raw)   116.0 kJ/mol of atoms

Geometry as POSCAR:
```
FeSb2MoAs
1.0
4.219 0.000 0.000
0.000 5.249 0.000
0.000 0.000 5.249
Fe Sb As Mo
1 2 1 1
Direct
0.500 0.000 0.000
0.000 0.500 0.000
0.000 0.000 0.500
0.000 0.000 0.000
0.500 0.500 0.500
```

---

# 19
Below is a crystal of CdReH2 relaxed with PBEsol, with properties calculated at the SCAN level.

## Properties
Final energy   -26.441 eV/atom

Geometry as POSCAR:
```
CdReH2
1.0
-0.219 -0.791 -4.400
-4.033 -1.868 0.536
0.332 5.037 1.355
Re H Cd
2 4 2
Direct
0.000 0.000 0.000
0.250 0.750 0.500
0.317 0.875 0.250
0.933 0.375 0.250
0.125 0.067 0.750
0.625 0.683 0.750
0.750 0.250 0.500
0.500 0.500 0.000
```

---

# 20
Below is a crystal of KLuMo2O8 relaxed with PBEsol, with properties calculated at the SCAN level.

## Properties
ΔE_f (raw)   -255.1 kJ/mol of atoms

Geometry as POSCAR:
```
KLuMo2O8
1.0
5.867 0.000 0.000
-2.934 5.081 0.000
0.000 0.000 7.279
O Lu Mo K
8 1 2 1
Direct
0.333 0.667 0.498
0.168 0.335 0.184
0.832 0.665 0.816
0.832 0.168 0.816
0.168 0.832 0.184
0.665 0.832 0.184
0.335 0.168 0.816
0.667 0.333 0.502
0.000 0.000 0.000
0.667 0.333 0.738
0.333 0.667 0.262
0.000 0.000 0.500
```